Record 1
A geometry-optimized Nd2MgPdO5 structure. Source: Alexandria via LeMat-Bulk, functional GGA-PBE.

Calculated values
Raw formation energy, eV/atom: -2.153
Space group: P4/mbm (127)
Calculated volume, Å³/atom: 14.452

a b c (Å): 5.793 6.701 6.701
angles (deg): 90.00 90.00 90.00
Positions (direct):
Mg  0.000  0.000  0.000
Mg  0.000  0.500  0.500
O  0.500  0.500  0.500
O  0.756  0.148  0.648
O  0.244  0.852  0.352
O  0.244  0.148  0.648
O  0.756  0.352  0.148
O  0.244  0.352  0.148
O  0.756  0.852  0.352
O  0.756  0.648  0.852
O  0.244  0.648  0.852
O  0.500  0.000  0.000
Pd  0.000  0.000  0.500
Pd  0.000  0.500  0.000
Nd  0.500  0.829  0.671
Nd  0.500  0.171  0.329
Nd  0.500  0.329  0.829
Nd  0.500  0.671  0.171

Record 2
A geometry-optimized PS structure. Source: Alexandria via LeMat-Bulk, functional GGA-PBE.

Calculated values
Raw formation energy, eV/atom: 0.313
Space group: Cm (8)
Calculated volume, Å³/atom: 23.038
E above lowest polymorph, meV per atom: 451

a b c (Å): 2.543 3.346 5.666
angles (deg): 107.16 90.66 89.99
Positions (direct):
S  0.777  0.520  0.336
P  0.787  0.705  0.705

Record 3
A geometry-optimized YPIr2 structure. Source: Alexandria via LeMat-Bulk, functional GGA-PBE.

Calculated values
Space group: Cm (8)
Calculated volume, Å³/atom: 18.816

a b c (Å): 4.784 4.784 4.755
angles (deg): 73.61 73.61 46.62
Positions (direct):
Ir  0.253  0.253  0.238
Ir  0.973  0.973  0.140
P  0.528  0.528  0.371
Y  0.746  0.746  0.752

Record 4
A geometry-optimized MgBPd3 structure. Source: Alexandria via LeMat-Bulk, functional GGA-PBE.

Calculated values
Space group: I-4m2 (119)
Calculated volume, Å³/atom: 17.060
E above lowest polymorph, meV per atom: 423

a b c (Å): 5.087 5.087 7.510
angles (deg): 70.21 70.21 90.00
Positions (direct):
B  0.000  0.000  0.000
B  0.250  0.750  0.500
Pd  0.123  0.372  0.755
Pd  0.123  0.873  0.755
Pd  0.628  0.877  0.245
Pd  0.127  0.877  0.245
Pd  0.689  0.689  0.623
Pd  0.311  0.311  0.377
Mg  0.580  0.080  0.840
Mg  0.920  0.420  0.160

Record 5
A geometry-optimized Ga3Sn4 structure. Source: Alexandria via LeMat-Bulk, functional GGA-PBE.

Calculated values
Space group: C2/m (12)
Calculated volume, Å³/atom: 24.896

a b c (Å): 4.155 4.123 11.996
angles (deg): 99.46 90.00 120.26
Positions (direct):
Sn  0.066  0.132  0.193
Sn  0.786  0.573  0.362
Sn  0.214  0.427  0.638
Sn  0.934  0.868  0.807
Ga  0.352  0.704  0.052
Ga  0.500  0.000  0.500
Ga  0.648  0.296  0.948

Record 6
A geometry-optimized GaPb2S3 structure. Source: Alexandria via LeMat-Bulk, functional GGA-PBE.

Calculated values
Raw formation energy, eV/atom: -0.426
Space group: C2/c (15)
Calculated volume, Å³/atom: 23.818

a b c (Å): 5.790 7.241 7.631
angles (deg): 103.91 112.29 90.00
Positions (direct):
S  0.123  0.563  0.247
S  0.521  0.750  0.000
S  0.876  0.937  0.753
S  0.124  0.063  0.247
S  0.479  0.250  0.000
S  0.877  0.437  0.753
Pb  0.334  0.916  0.669
Pb  0.335  0.416  0.669
Pb  0.666  0.084  0.331
Pb  0.665  0.584  0.331
Ga  0.062  0.250  0.000
Ga  0.938  0.750  0.000

Record 7
A geometry-optimized CsHoGaS4 structure. Source: Alexandria via LeMat-Bulk, functional GGA-PBE.

Calculated values
Raw formation energy, eV/atom: -1.232
Space group: P2_1/m (11)
Calculated volume, Å³/atom: 26.874

a b c (Å): 6.888 5.717 9.877
angles (deg): 90.00 104.69 90.00
Positions (direct):
S  0.997  0.483  0.311
S  0.539  0.250  0.805
S  0.420  0.750  0.568
S  0.003  0.983  0.689
S  0.003  0.517  0.689
S  0.580  0.250  0.432
S  0.461  0.750  0.195
S  0.997  0.017  0.311
Cs  0.756  0.750  0.960
Cs  0.244  0.250  0.040
Ga  0.259  0.750  0.338
Ga  0.741  0.250  0.662
Ho  0.253  0.250  0.555
Ho  0.747  0.750  0.445

Record 8
A geometry-optimized Ca2InNiH structure. Source: Alexandria via LeMat-Bulk, functional GGA-PBE.

Calculated values
Space group: P4/mmm (123)
Calculated volume, Å³/atom: 19.712

a b c (Å): 5.274 5.274 3.544
angles (deg): 90.00 90.00 90.00
Positions (direct):
H  0.000  0.000  0.000
In  0.500  0.500  0.500
Ni  0.000  0.000  0.500
Ca  0.500  0.000  0.000
Ca  0.000  0.500  0.000

Record 9
A geometry-optimized Ba2Al4Ga3Pd structure. Source: Alexandria via LeMat-Bulk, functional GGA-PBE.

Calculated values
Space group: P-4m2 (115)
Calculated volume, Å³/atom: 22.694

a b c (Å): 4.522 4.522 11.100
angles (deg): 90.00 90.00 90.00
Positions (direct):
Al  0.500  0.500  0.000
Al  0.500  0.000  0.617
Al  0.000  0.000  0.000
Al  0.000  0.500  0.383
Ga  0.000  0.000  0.500
Ga  0.500  0.000  0.865
Ga  0.000  0.500  0.135
Ba  0.500  0.000  0.252
Ba  0.000  0.500  0.748
Pd  0.500  0.500  0.500

Record 10
A geometry-optimized Sm2Mg2Al structure. Source: Alexandria via LeMat-Bulk, functional GGA-PBE.

Calculated values
Space group: C2/m (12)
Calculated volume, Å³/atom: 26.150

a b c (Å): 5.188 5.188 8.206
angles (deg): 50.82 50.82 59.91
Positions (direct):
Al  0.000  0.000  0.000
Mg  0.637  0.637  0.544
Mg  0.363  0.363  0.456
Sm  0.792  0.792  0.812
Sm  0.208  0.208  0.188

Record 11
A geometry-optimized SiGePt2 structure. Source: Alexandria via LeMat-Bulk, functional GGA-PBE.

Calculated values
Raw formation energy, eV/atom: -0.167
Space group: Fm-3m (225)
Calculated volume, Å³/atom: 15.455
E above lowest polymorph, meV per atom: 411

a b c (Å): 4.438 4.438 4.438
angles (deg): 60.00 60.00 60.00
Positions (direct):
Pt  0.750  0.750  0.750
Pt  0.250  0.250  0.250
Ge  0.500  0.500  0.500
Si  0.000  0.000  0.000

Record 12
A geometry-optimized CsGa2SbI structure. Source: Alexandria via LeMat-Bulk, functional GGA-PBE.

Calculated values
Raw formation energy, eV/atom: -0.175
Space group: P4/mmm (123)
Calculated volume, Å³/atom: 66.462

a b c (Å): 5.467 11.120 5.467
angles (deg): 90.00 90.00 90.00
Positions (direct):
Sb  0.000  0.000  0.000
Cs  0.500  0.500  0.500
I  0.000  0.500  0.000
Ga  0.500  0.000  0.000
Ga  0.000  0.000  0.500

Calculated E in order - -6.721 -4.455 -7.963 -4.833 -3.510 -4.231 -4.799 -3.449 -3.744 -3.426 -5.698 -2.691 eV per atom